Entry from the Alexandria database: a relaxed structure of AsNCl (PBE-GGA).

Values from the calculation:
The space-group type is Pm. For the energy above the most stable polymorph in this dataset, the calculation gives 37 meV per atom. The formation energy without anion corrections comes out at 0.2623 eV per atom.

Unit cell a=5.3832 b=3.1189 c=7.8965 alpha=90.00 beta=100.53 gamma=90.00
Fractional coordinates of all 6 atoms:
As 0.0000 0.0000 0.0000
As 0.3567 0.5000 0.3437
N 0.1220 0.5000 0.1351
N 0.5640 0.0000 0.2863
Cl 0.2784 0.0000 0.8181
Cl 0.8160 0.0000 0.4669

---

Entry from the Alexandria database: a relaxed structure of LiPrRuPb (PBE-GGA).

Values from the calculation:
The space-group type is F-43m. The calculation puts the formation energy at -145 meV per atom.

Unit cell a=4.9019 b=4.9019 c=4.9019 alpha=60.00 beta=60.00 gamma=60.00
Fractional coordinates of all 4 atoms:
Li 0.0000 0.0000 0.0000
Pr 0.2500 0.2500 0.2500
Ru 0.5000 0.5000 0.5000
Pb 0.7500 0.7500 0.7500